[1]
Crystalline LiTlIn2 at its relaxed geometry, computed with PBE.

Properties
DFT total energy   -2.533 eV/atom
Calculated volume   24.8 A^3/atom

a b c (Å): 5.664 5.664 5.664
angles (deg): 131.70 131.70 70.71
Fractional positions:
Li 0.000 0.000 0.000
Tl 0.250 0.750 0.500
In 0.500 0.500 0.000
In 0.750 0.250 0.500

[2]
Crystalline Li5Tl3In3 at its relaxed geometry, computed with PBE.

Properties
DFT total energy   -2.207 eV/atom
Calculated volume   25.8 A^3/atom

a b c (Å): 8.269 8.269 4.795
angles (deg): 90.00 90.00 120.00
Fractional positions:
Li 0.000 0.622 0.000
Li 0.333 0.667 0.000
Li 0.378 0.378 0.000
Li 0.622 0.000 0.000
Li 0.667 0.333 0.000
Tl 0.000 0.454 0.500
Tl 0.454 0.000 0.500
Tl 0.546 0.546 0.500
In 0.000 0.223 0.000
In 0.223 0.000 0.000
In 0.777 0.777 0.000